1.
First-principles (GGA-PBE) data for K2NaTlAu after structural relaxation, as listed in the Alexandria database.

Cell: 6.3063 6.3063 5.7798 Å, 90.00 90.00 90.00°
Last column: nearest neighbours and their distance in Å.
Fractional positions:
K 0.0000 0.5000 0.0000  2 Au 3.15
K 0.5000 0.0000 0.0000  2 Au 3.15
Na 0.0000 0.0000 0.5000  8 K 4.28, 4 Tl 4.46
Tl 0.5000 0.5000 0.5000  2 Au 2.89
Au 0.5000 0.5000 0.0000  2 Tl 2.89, 4 K 3.15

Values from the calculation:
ΔE to the lowest computed polymorph in kJ/mol of formula units: 0.0
Density of states at the Fermi level in states/eV/atom: 0.70
Space-group type: P4/mmm, No. 123
ΔE_f in eV per atom: -0.06

---

2.
First-principles (GGA-PBE) data for KNaZn2Au after structural relaxation, as listed in the Alexandria database.

Cell: 5.0397 5.0397 5.6206 Å, 90.00 90.00 90.00°
Last column: nearest neighbours and their distance in Å.
Fractional positions:
K 0.0000 0.0000 0.0000  4 Na 3.56, 8 Zn 3.77
Na 0.5000 0.5000 0.0000  2 Au 2.81
Zn 0.0000 0.5000 0.5000  2 Au 2.52
Zn 0.5000 0.0000 0.5000  2 Au 2.52
Au 0.5000 0.5000 0.5000  4 Zn 2.52, 2 Na 2.81

Values from the calculation:
Density of states at the Fermi level in states/eV/atom: 0.37
Space-group type: P4/mmm, No. 123
ΔE_f in eV per atom: -0.11

---

3.
First-principles (GGA-PBE) data for KNaZnAu2 after structural relaxation, as listed in the Alexandria database.

Cell: 5.0944 5.0944 5.2399 Å, 90.00 90.00 90.00°
Last column: nearest neighbours and their distance in Å.
Fractional positions:
K 0.0000 0.0000 0.0000  4 Na 3.60, 8 Au 3.65
Na 0.5000 0.5000 0.0000  2 Zn 2.62
Zn 0.5000 0.5000 0.5000  4 Au 2.55, 2 Na 2.62
Au 0.0000 0.5000 0.5000  2 Zn 2.55
Au 0.5000 0.0000 0.5000  2 Zn 2.55

Values from the calculation:
Density of states at the Fermi level in states/eV/atom: 0.38
Space-group type: P4/mmm, No. 123
ΔE_f in eV per atom: -0.12

---

4.
First-principles (GGA-PBE) data for KNa2ZnAu after structural relaxation, as listed in the Alexandria database.

Cell: 6.5050 6.5050 5.8156 Å, 90.00 90.00 90.00°
Last column: nearest neighbours and their distance in Å.
Fractional positions:
K 0.0000 0.0000 0.0000  2 Au 2.91, 4 Na 3.25
Na 0.0000 0.5000 0.0000  2 K 3.25
Na 0.5000 0.0000 0.0000  2 K 3.25
Zn 0.5000 0.5000 0.5000  8 Na 4.36, 4 Au 4.60
Au 0.0000 0.0000 0.5000  2 K 2.91

Values from the calculation:
ΔE to the lowest computed polymorph in kJ/mol of formula units: 320.7
Density of states at the Fermi level in states/eV/atom: 0.77
Space-group type: P4/mmm, No. 123
ΔE_f in eV per atom: 0.55

---

5.
First-principles (GGA-PBE) data for KNaZnAu after structural relaxation, as listed in the Alexandria database.

Cell: 4.5932 4.5932 7.3501 Å, 107.96 107.96 60.04°
Last column: nearest neighbours and their distance in Å.
Fractional positions:
K 0.0000 0.0000 0.0000  3 Zn 3.50-3.51, 3 Au 3.51, 1 Na 3.82
Na 0.1840 0.1840 0.5562  3 Au 3.06, 3 Zn 3.06
Zn 0.7773 0.7773 0.3342  3 Au 2.65
Au 0.4440 0.4440 0.3342  3 Zn 2.65

Values from the calculation:
ΔE to the lowest computed polymorph in kJ/mol of formula units: 0.0
Density of states at the Fermi level in states/eV/atom: 0.38
Space-group type: Cm, No. 8
ΔE_f in eV per atom: -0.19

---

6.
First-principles (GGA-PBE) data for KNa2ZnAu after structural relaxation, as listed in the Alexandria database.

Cell: 5.6778 5.6778 5.0934 Å, 90.00 90.00 90.00°
Last column: nearest neighbours and their distance in Å.
Fractional positions:
K 0.0000 0.0000 0.0000  8 Na 3.81, 4 Zn 4.01
Na 0.0000 0.5000 0.5000  2 Au 2.84
Na 0.5000 0.0000 0.5000  2 Au 2.84
Zn 0.5000 0.5000 0.0000  2 Au 2.55
Au 0.5000 0.5000 0.5000  2 Zn 2.55, 4 Na 2.84

Values from the calculation:
ΔE to the lowest computed polymorph in kJ/mol of formula units: 0.0
Density of states at the Fermi level in states/eV/atom: 0.51
Space-group type: P4/mmm, No. 123
ΔE_f in eV per atom: -0.11

---

7.
First-principles (GGA-PBE) data for KNa2ZnAu after structural relaxation, as listed in the Alexandria database.

Cell: 5.6163 5.6163 5.0420 Å, 90.00 90.00 90.00°
Last column: nearest neighbours and their distance in Å.
Fractional positions:
K 0.0000 0.0000 0.0000  8 Na 3.77, 4 Au 3.97
Na 0.0000 0.5000 0.5000  2 Zn 2.81
Na 0.5000 0.0000 0.5000  2 Zn 2.81
Zn 0.5000 0.5000 0.5000  2 Au 2.52, 4 Na 2.81
Au 0.5000 0.5000 0.0000  2 Zn 2.52

Values from the calculation:
ΔE to the lowest computed polymorph in kJ/mol of formula units: 32.7
Density of states at the Fermi level in states/eV/atom: 0.54
Space-group type: P4/mmm, No. 123
ΔE_f in eV per atom: -0.05

---

8.
First-principles (GGA-PBE) data for KNaZnAu after structural relaxation, as listed in the Alexandria database.

Cell: 5.4184 5.4184 5.4184 Å, 60.00 60.00 60.00°
Last column: nearest neighbours and their distance in Å.
Fractional positions:
K 0.0000 0.0000 0.0000  4 Au 3.32, 4 Zn 3.32
Na 0.5000 0.5000 0.5000  4 Zn 3.32, 4 Au 3.32
Zn 0.2500 0.2500 0.2500  4 Na 3.32, 4 K 3.32
Au 0.7500 0.7500 0.7500  4 Na 3.32, 4 K 3.32

Values from the calculation:
ΔE to the lowest computed polymorph in kJ/mol of formula units: 60.6
Density of states at the Fermi level in states/eV/atom: 0.46
Space-group type: F-43m, No. 216
ΔE_f in eV per atom: -0.03

---

- Which value of ΔE_f does entry 4 give?
  0.55 eV per atom

---

- density of states at the Fermi level of number 5 (KNaZnAu)?
  0.38 states/eV/atom

---

- The lowest density of states at the Fermi level belongs to which entry?
  KNaZn2Au